K3U2NiS6: relaxed, GGA-PBE.

Computed properties:
Formation energy from raw total energies   -1137 meV/atom
D(E_F)   21.340 states/eV/f.u.

Structure (CIF):
```
data_K3U2NiS6
_cell_length_a 6.747
_cell_length_b 11.948
_cell_length_c 7.701
_cell_angle_alpha 90.00
_cell_angle_beta 106.73
_cell_angle_gamma 90.00
_space_group_name_H-M_alt 'C 1 2/m 1'
_space_group_IT_number 12
loop_
_space_group_symop_operation_xyz
'x,y,z'
'-x,-y,-z'
'-x,y,-z'
'x,-y,z'
'x+1/2,y+1/2,z'
'-x+1/2,-y+1/2,-z'
'-x+1/2,y+1/2,-z'
'x+1/2,-y+1/2,z'
loop_
_atom_site_label
_atom_site_type_symbol
_atom_site_fract_x
_atom_site_fract_y
_atom_site_fract_z
_atom_site_occupancy
K1 K 0.000 0.000 0.000 1
K2 K 0.000 0.338 0.000 1
U1 U 0.000 0.167 0.500 1
Ni1 Ni 0.000 0.500 0.500 1
S1 S 0.234 0.332 0.702 1
S2 S 0.248 0.000 0.687 1
```